Record 1
Ge2PtRh3: optimized geometry, PBE-GGA.

Values from the calculation:
For the formation energy, the calculation gives -0.451 eV/atom.

The structure in CIF format:
```
data_Ge2PtRh3
_chemical_formula_sum 'Ge4 Pt2 Rh6'
_symmetry_space_group_name_H-M 'P m c 21'
_symmetry_Int_Tables_number 26
_cell_length_a 4.094
_cell_length_b 7.696
_cell_length_c 5.574
_cell_angle_alpha 90.00
_cell_angle_beta 90.00
_cell_angle_gamma 90.00
loop_
_symmetry_equiv_pos_as_xyz
'x,y,z'
'-x,-y,z+1/2'
'-x,y,z'
'x,-y,z+1/2'
loop_
_atom_site_label
_atom_site_type_symbol
_atom_site_fract_x
_atom_site_fract_y
_atom_site_fract_z
Ge1 Ge 0.000 0.140 0.000
Ge2 Ge 0.500 0.346 0.562
Pt1 Pt 0.000 0.449 0.807
Rh1 Rh 0.000 0.180 0.439
Rh2 Rh 0.500 0.047 0.751
Rh3 Rh 0.500 0.325 0.116
```

---

Record 2
CaIr2Cl: optimized geometry, PBE-GGA.

Values from the calculation:
As for the energy relative to the elements, uncorrected: 31.1 kJ/mol of atoms.

The structure in CIF format:
```
data_CaIr2Cl
_chemical_formula_sum 'Ca4 Ir8 Cl4'
_symmetry_space_group_name_H-M 'I -4 2 d'
_symmetry_Int_Tables_number 122
_symmetry_space_group_name_Hall 'I -4 2bw'
_cell_length_a 5.055
_cell_length_b 5.055
_cell_length_c 14.816
_cell_angle_alpha 90.00
_cell_angle_beta 90.00
_cell_angle_gamma 90.00
loop_
_atom_site_label
_atom_site_type_symbol
_atom_site_fract_x
_atom_site_fract_y
_atom_site_fract_z
Ca1 Ca 0.000 0.000 0.000
Ir1 Ir 0.058 0.750 0.625
Cl1 Cl 0.000 0.000 0.500
```

---

Record 3
CePmH2: optimized geometry, PBE-GGA.

Values from the calculation:
The uncorrected energy is -4.6246 eV/atom.

The structure in CIF format:
```
data_CePmH2
_chemical_formula_sum 'Ce3 Pm3 H6'
_symmetry_space_group_name_H-M 'R 3 m'
_symmetry_Int_Tables_number 160
_symmetry_space_group_name_Hall 'R 3 -2"'
_cell_length_a 3.4785
_cell_length_b 3.4785
_cell_length_c 18.6226
_cell_angle_alpha 90.00
_cell_angle_beta 90.00
_cell_angle_gamma 120.00
loop_
_atom_site_label
_atom_site_type_symbol
_atom_site_fract_x
_atom_site_fract_y
_atom_site_fract_z
Ce1 Ce 0.0000 0.0000 0.0000
Pm1 Pm 0.0000 0.0000 0.1748
H1 H 0.0000 0.0000 0.5865
H2 H 0.0000 0.0000 0.7603
```

---

Record 4
AlZn2Os: optimized geometry, PBE-GGA.

Values from the calculation:
For the formation energy, the calculation gives 0.133 eV/atom.

The structure in CIF format:
```
data_AlZn2Os
_chemical_formula_sum 'Al2 Zn4 Os2'
_symmetry_space_group_name_H-M 'C m m 2'
_symmetry_Int_Tables_number 35
_cell_length_a 2.883
_cell_length_b 4.761
_cell_length_c 8.775
_cell_angle_alpha 90.00
_cell_angle_beta 90.00
_cell_angle_gamma 90.00
loop_
_symmetry_equiv_pos_as_xyz
'x,y,z'
'-x,-y,z'
'-x,y,z'
'x,-y,z'
'x+1/2,y+1/2,z'
'-x+1/2,-y+1/2,z'
'-x+1/2,y+1/2,z'
'x+1/2,-y+1/2,z'
loop_
_atom_site_label
_atom_site_type_symbol
_atom_site_fract_x
_atom_site_fract_y
_atom_site_fract_z
Al1 Al 0.000 0.000 0.000
Zn1 Zn 0.000 0.000 0.517
Zn2 Zn 0.000 0.500 0.262
Os1 Os 0.000 0.500 0.769
```

---

Number 1: total moment 0.00 Bohr magnetons per cell, V 14.64 A^3/atom. Number 2: total moment 0.00 Bohr magnetons per cell, V 23.66 A^3/atom. Number 3: total moment 3.07 Bohr magnetons per cell, V 16.26 A^3/atom. Number 4: total moment 0.00 Bohr magnetons per cell, V 15.05 A^3/atom.